The following is a PBE-GGA calculation of a relaxed structure of CaPH, from Alexandria via LeMat-Bulk.

Cell lengths 5.4238, 4.3028, 6.5859 Å; angles 89.96, 127.40, 113.41 degrees
Closest atoms and distances in Å follow each position.
Element x y z (fractional)
Ca1 0.4604 0.2303 0.7302  6 P 2.96-2.97, 4 H 2.97-2.98
Ca2 0.5396 0.7697 0.2698  6 P 2.96-2.97, 4 H 2.97-2.98
P1 0.0000 0.5004 0.3296  1 P 2.24
P2 0.0000 0.4996 0.6704  1 P 2.24
H1 0.0000 0.0011 0.9409  1 H 0.78
H2 0.0000 0.9989 0.0591  1 H 0.78

DFT total energy	-4.23	eV/atom
symmetry	C2/m
polymorph energy (0 for the lowest one)	97	meV/atom
DOS at the Fermi energy	0.03	states/eV/atom

The following is a PBE-GGA calculation of a relaxed structure of Ca12P5H3, from Alexandria via LeMat-Bulk.

Cell lengths 14.7858, 14.7858, 14.7858 Å; angles 109.47, 109.47, 109.47 degrees
Closest atoms and distances in Å follow each position.
Element x y z (fractional)
H1 0.3750 0.6250 0.2500  8 Ca 3.19-3.26
H2 0.8750 0.1250 0.2500  8 Ca 3.19-3.26
H3 0.6250 0.3750 0.7500  8 Ca 3.19-3.26
H4 0.3750 0.7500 0.6250  8 Ca 3.19-3.26
H5 0.2500 0.1250 0.3750  8 Ca 3.19-3.26
H6 0.7500 0.3750 0.1250  8 Ca 3.19-3.26
H7 0.6250 0.2500 0.3750  8 Ca 3.19-3.26
H8 0.7500 0.8750 0.6250  8 Ca 3.19-3.26
H9 0.8750 0.7500 0.1250  8 Ca 3.19-3.26
H10 0.2500 0.6250 0.8750  8 Ca 3.19-3.26
H11 0.1250 0.8750 0.7500  8 Ca 3.19-3.26
H12 0.1250 0.2500 0.8750  8 Ca 3.19-3.26
Ca1 0.4584 0.6711 0.0886  2 P 2.68-2.80
Ca2 0.1711 0.0825 0.7127  2 P 2.68-2.80
Ca3 0.4175 0.2873 0.3289  2 P 2.68-2.80
Ca4 0.2873 0.8698 0.9584  2 P 2.68-2.80
Ca5 0.2127 0.5416 0.6302  2 P 2.68-2.80
Ca6 0.1302 0.4175 0.0886  2 P 2.68-2.80
Ca7 0.1302 0.7127 0.5416  2 P 2.68-2.80
Ca8 0.0825 0.1711 0.2127  2 P 2.68-2.80
Ca9 0.2127 0.6711 0.0825  2 P 2.68-2.80
Ca10 0.3289 0.5416 0.4114  2 P 2.68-2.80
Ca11 0.3698 0.9584 0.7873  2 P 2.68-2.80
Ca12 0.3698 0.4114 0.0825  2 P 2.68-2.80
Ca13 0.0886 0.9175 0.1302  2 P 2.68-2.80
Ca14 0.9175 0.0886 0.6302  2 P 2.68-2.80
Ca15 0.1711 0.0886 0.9584  2 P 2.68-2.80
Ca16 0.9584 0.5886 0.1711  2 P 2.68-2.80
Ca17 0.9175 0.8289 0.7873  2 P 2.68-2.80
Ca18 0.0886 0.1711 0.4584  2 P 2.68-2.80
Ca19 0.7873 0.4584 0.3698  2 P 2.68-2.80
Ca20 0.4584 0.7873 0.8698  2 P 2.68-2.80
Ca21 0.6302 0.5886 0.9175  2 P 2.68-2.80
Ca22 0.9114 0.8289 0.5416  2 P 2.68-2.80
Ca23 0.0416 0.6302 0.7127  2 P 2.68-2.80
Ca24 0.8289 0.9175 0.2873  2 P 2.68-2.80
Ca25 0.8698 0.2873 0.4584  2 P 2.68-2.80
Ca26 0.2873 0.4175 0.8289  2 P 2.68-2.80
Ca27 0.7873 0.3289 0.9175  2 P 2.68-2.80
Ca28 0.4114 0.0416 0.3289  2 P 2.68-2.80
Ca29 0.5416 0.2127 0.1302  2 P 2.68-2.80
Ca30 0.5886 0.6302 0.4175  2 P 2.68-2.80
Ca31 0.0416 0.4114 0.8289  2 P 2.68-2.80
Ca32 0.7127 0.5825 0.1711  2 P 2.68-2.80
Ca33 0.5825 0.8698 0.4114  2 P 2.68-2.80
Ca34 0.6711 0.4584 0.5886  2 P 2.68-2.80
Ca35 0.4114 0.3698 0.5825  2 P 2.68-2.80
Ca36 0.8289 0.9114 0.0416  2 P 2.68-2.80
Ca37 0.6711 0.2127 0.5825  2 P 2.68-2.80
Ca38 0.7127 0.1302 0.0416  2 P 2.68-2.80
Ca39 0.5416 0.3289 0.9114  2 P 2.68-2.80
Ca40 0.9114 0.0825 0.8698  2 P 2.68-2.80
Ca41 0.6302 0.0416 0.2127  2 P 2.68-2.80
Ca42 0.5886 0.9584 0.6711  2 P 2.68-2.80
Ca43 0.4175 0.1302 0.5886  2 P 2.68-2.80
Ca44 0.9584 0.3698 0.2873  2 P 2.68-2.80
Ca45 0.0825 0.9114 0.3698  2 P 2.68-2.80
Ca46 0.8698 0.5825 0.9114  2 P 2.68-2.80
Ca47 0.5825 0.7127 0.6711  2 P 2.68-2.80
Ca48 0.3289 0.7873 0.4175  2 P 2.68-2.80
P1 0.6250 0.8750 0.2500  4 Ca 2.68
P2 0.2500 0.3750 0.6250  4 Ca 2.68
P3 0.0000 0.0000 0.5000  6 Ca 2.80
P4 0.5000 0.5000 0.5000  6 Ca 2.80
P5 0.8750 0.6250 0.7500  4 Ca 2.68
P6 0.2500 0.8750 0.1250  4 Ca 2.68
P7 0.0000 0.0000 0.0000  6 Ca 2.80
P8 0.0000 0.5000 0.0000  6 Ca 2.80
P9 0.5000 0.5000 0.0000  6 Ca 2.80
P10 0.7500 0.6250 0.3750  4 Ca 2.68
P11 0.1250 0.7500 0.3750  4 Ca 2.68
P12 0.5000 0.0000 0.0000  6 Ca 2.80
P13 0.8750 0.2500 0.6250  4 Ca 2.68
P14 0.1250 0.3750 0.2500  4 Ca 2.68
P15 0.7500 0.1250 0.8750  4 Ca 2.68
P16 0.3750 0.1250 0.7500  4 Ca 2.68
P17 0.3750 0.2500 0.1250  4 Ca 2.68
P18 0.6250 0.7500 0.8750  4 Ca 2.68
P19 0.5000 0.0000 0.5000  6 Ca 2.80
P20 0.0000 0.5000 0.5000  6 Ca 2.80

DFT total energy	-3.42	eV/atom
symmetry	Ia-3d
DOS at the Fermi energy	0.57	states/eV/atom

The following is a PBE-GGA calculation of a relaxed structure of CaPH2, from Alexandria via LeMat-Bulk.

Cell lengths 4.0389, 4.0389, 4.0389 Å; angles 60.00, 60.00, 60.00 degrees
Closest atoms and distances in Å follow each position.
Element x y z (fractional)
P1 0.0000 0.0000 0.0000  8 H 2.47
H1 0.2500 0.2500 0.2500  4 Ca 2.47, 4 P 2.47
H2 0.7500 0.7500 0.7500  4 Ca 2.47, 4 P 2.47
Ca1 0.5000 0.5000 0.5000  8 H 2.47

DFT total energy	-3.52	eV/atom
symmetry	Fm-3m
polymorph energy (0 for the lowest one)	45	meV/atom
DOS at the Fermi energy	0.34	states/eV/atom

The following is a PBE-GGA calculation of a relaxed structure of CaP3H12, from Alexandria via LeMat-Bulk.

Cell lengths 9.0411, 9.0411, 8.2792 Å; angles 56.91, 56.91, 60.00 degrees
Closest atoms and distances in Å follow each position.
Element x y z (fractional)
H1 0.5374 0.1469 0.9041  1 H 0.75
H2 0.2392 0.3474 0.8651  1 H 0.75
H3 0.0110 0.6447 0.0092  1 P 1.43
H4 0.3474 0.5483 0.8651  1 H 0.75
H5 0.0374 0.9115 0.4041  1 H 0.75
H6 0.7917 0.5260 0.7893  1 P 1.43
H7 0.6469 0.0374 0.4041  1 H 0.75
H8 0.4115 0.5374 0.9041  1 H 0.75
H9 0.0483 0.8474 0.3651  1 H 0.75
H10 0.6447 0.3351 0.0092  1 P 1.43
H11 0.3930 0.0260 0.2893  1 P 1.43
H12 0.1469 0.4115 0.9041  1 H 0.75
H13 0.8474 0.7392 0.3651  1 H 0.75
H14 0.9115 0.6469 0.4041  1 H 0.75
H15 0.8930 0.7917 0.7893  1 P 1.43
H16 0.5260 0.8930 0.7893  1 P 1.43
H17 0.5110 0.8351 0.5092  1 P 1.43
H18 0.5483 0.2392 0.8651  1 H 0.75
H19 0.3351 0.0110 0.0092  1 P 1.43
H20 0.8351 0.1447 0.5092  1 P 1.43
H21 0.0260 0.2917 0.2893  1 P 1.43
H22 0.2917 0.3930 0.2893  1 P 1.43
H23 0.1447 0.5110 0.5092  1 P 1.43
H24 0.7392 0.0483 0.3651  1 H 0.75
P1 0.3143 0.3728 0.4591  2 H 1.43
P2 0.8728 0.8143 0.9591  2 H 1.43
P3 0.8143 0.3537 0.9591  2 H 1.43
P4 0.8537 0.3143 0.4591  2 H 1.43
P5 0.3728 0.8537 0.4591  2 H 1.43
P6 0.3537 0.8728 0.9591  2 H 1.43
Ca1 0.0895 0.0895 0.7316  6 P 3.05-3.11, 6 H 3.32-3.38
Ca2 0.5895 0.5895 0.2316  6 P 3.05-3.11, 6 H 3.32-3.38

DFT total energy	-3.71	eV/atom
symmetry	R3c
DOS at the Fermi energy	0.28	states/eV/atom

The following is a PBE-GGA calculation of a relaxed structure of Ca2PH6, from Alexandria via LeMat-Bulk.

Cell lengths 5.2243, 5.2243, 5.2243 Å; angles 60.00, 60.00, 60.00 degrees
Closest atoms and distances in Å follow each position.
Element x y z (fractional)
P1 0.0000 0.0000 0.0000  6 H 1.69
Ca1 0.2500 0.2500 0.2500  12 H 2.62
Ca2 0.7500 0.7500 0.7500  12 H 2.62
H1 0.2288 0.7712 0.7712  1 P 1.69
H2 0.7712 0.2288 0.2288  1 P 1.69
H3 0.7712 0.7712 0.2288  1 P 1.69
H4 0.2288 0.7712 0.2288  1 P 1.69
H5 0.7712 0.2288 0.7712  1 P 1.69
H6 0.2288 0.2288 0.7712  1 P 1.69

DFT total energy	-3.20	eV/atom
symmetry	Fm-3m
DOS at the Fermi energy	0.33	states/eV/atom

The following is a PBE-GGA calculation of a relaxed structure of CaP3H, from Alexandria via LeMat-Bulk.

Cell lengths 5.2830, 5.2830, 5.2830 Å; angles 90.00, 90.00, 90.00 degrees
Closest atoms and distances in Å follow each position.
Element x y z (fractional)
P1 0.0000 0.5000 0.0000  2 Ca 2.64
P2 0.5000 0.0000 0.0000  2 Ca 2.64
P3 0.0000 0.0000 0.5000  2 Ca 2.64
H1 0.5000 0.5000 0.5000  12 P 3.74
Ca1 0.0000 0.0000 0.0000  6 P 2.64

DFT total energy	-2.74	eV/atom
symmetry	Pm-3m
polymorph energy (0 for the lowest one)	1411	meV/atom
DOS at the Fermi energy	0.75	states/eV/atom

What is the DOS at the Fermi energy in the first record?
0.03 states/eV/atom